{"formula": "TaAlReTc2", "functional": "PBE-GGA", "state": "optimized geometry", "lattice_angstrom": [[4.3757, 0.0000, 0.0000], [0.0000, 4.4687, 0.0000], [0.0000, 0.0000, 4.3757]], "species": ["Re", "Al", "Tc", "Tc", "Ta"], "frac_coords": [[0.0000, 0.5000, 0.0000], [0.0000, 0.0000, 0.0000], [0.0000, 0.0000, 0.5000], [0.5000, 0.0000, 0.0000], [0.5000, 0.5000, 0.5000]], "magmom_total_mub_per_atom": 0.00, "delta_e_f_ev_per_atom": 1.149, "mass_density_g_cm3": 11.5}

=====

{"formula": "Sr3La", "functional": "PBE-GGA", "state": "optimized geometry", "lattice_angstrom": [[6.5071, 0.0000, 0.0000], [0.0000, 3.9282, 0.0067], [0.0000, 1.3402, 7.5022]], "species": ["La", "Sr", "Sr", "Sr"], "frac_coords": [[0.0000, 0.0000, 0.0000], [0.5000, 0.7458, 0.7578], [0.0000, 0.5000, 0.5000], [0.5000, 0.2542, 0.2422]], "de_polymorph_mev_per_atom": 26.0, "magmom_total_mub_per_atom": 0.00, "delta_e_f_ev_per_atom": 0.120, "mass_density_g_cm3": 3.5}

=====

{"formula": "HoGa8Co2", "functional": "PBE-GGA", "state": "optimized geometry", "lattice_angstrom": [[5.6638, 0.0000, 0.0000], [0.0000, 5.6638, 0.0000], [0.0000, 0.0000, 7.2446]], "species": ["Ho", "Ga", "Ga", "Ga", "Ga", "Ga", "Ga", "Ga", "Ga", "Co", "Co"], "frac_coords": [[0.5000, 0.5000, 0.5000], [0.7556, 0.7556, 0.1935], [0.7556, 0.2444, 0.8065], [0.7556, 0.7556, 0.8065], [0.7556, 0.2444, 0.1935], [0.2444, 0.7556, 0.1935], [0.2444, 0.7556, 0.8065], [0.2444, 0.2444, 0.1935], [0.2444, 0.2444, 0.8065], [0.5000, 0.0000, 0.0000], [0.0000, 0.5000, 0.0000]], "magmom_total_mub_per_atom": 0.00, "delta_e_f_ev_per_atom": 0.019, "mass_density_g_cm3": 6.0}

=====

{"formula": "LiZnIr2", "functional": "PBE-GGA", "state": "optimized geometry", "lattice_angstrom": [[2.8793, 0.0000, 0.0000], [0.0000, 2.8793, 0.0000], [0.0000, 0.0000, 6.4085]], "species": ["Ir", "Ir", "Li", "Zn"], "frac_coords": [[0.0000, 0.0000, 0.9945], [0.5000, 0.5000, 0.2698], [0.0000, 0.0000, 0.5071], [0.5000, 0.5000, 0.7286]], "magmom_total_mub_per_atom": 0.00, "delta_e_f_ev_per_atom": -0.087, "mass_density_g_cm3": 14.3}